Pu2NpH8: relaxed, PBE.

Structure (POSCAR):
```
Pu2NpH8
1.0
3.533 0.000 -1.073
-0.649 4.805 -2.137
0.012 -0.077 6.392
H Pu Np
8 2 1
Cartesian
-0.473 3.501 -1.557
2.045 2.003 0.381
0.470 0.751 1.546
0.851 2.725 2.801
1.742 4.247 -0.617
2.426 3.977 1.636
3.357 1.304 -1.653
1.154 0.481 3.799
0.198 3.238 0.652
2.698 1.490 2.530
1.766 0.000 -0.536
```

* density: 11.3 Mg/m³
* SG: Immm, No. 71
* energy: -6.560 eV/atom